A plane-wave DFT calculation with PBE was carried out for a relaxed K2LaAuCl6 crystal.

Cell: 7.768 7.768 7.768 Å, 60.00 60.00 60.00°
Sites, in units of the cell vectors:
1 K 0.750 0.750 0.750
2 K 0.250 0.250 0.250
3 La 0.000 0.000 0.000
4 Au 0.500 0.500 0.500
5 Cl 0.251 0.749 0.251
6 Cl 0.749 0.251 0.251
7 Cl 0.749 0.251 0.749
8 Cl 0.251 0.251 0.749
9 Cl 0.749 0.749 0.251
10 Cl 0.251 0.749 0.749

Summary:
The density of states at the Fermi level is 0.00 states/eV/atom. Its space-group type is Fm-3m (225). For the uncorrected energy, the calculation gives -37.936 eV for the cell shown. The formation energy without anion corrections is -1.646 eV/atom. The crystal system is cubic.



A plane-wave DFT calculation with PBE was carried out for a relaxed KMgAuCl2 crystal.

Cell: 5.683 5.004 5.683 Å, 90.00 90.00 90.00°
Sites, in units of the cell vectors:
1 K 0.500 0.500 0.500
2 Au 0.000 0.000 0.000
3 Mg 0.000 0.500 0.000
4 Cl 0.000 0.000 0.500
5 Cl 0.500 0.000 0.000

Summary:
The density of states at the Fermi level is 0.21 states/eV/atom. Its space-group type is P4/mmm (123). For the uncorrected energy, the calculation gives -12.604 eV for the cell shown. The formation energy without anion corrections is -0.588 eV/atom. The crystal system is tetragonal.



Copy entry 2 word for word.
A plane-wave DFT calculation with PBE was carried out for a relaxed KMgAuCl2 crystal.

Cell: 5.683 5.004 5.683 Å, 90.00 90.00 90.00°
Sites, in units of the cell vectors:
1 K 0.500 0.500 0.500
2 Au 0.000 0.000 0.000
3 Mg 0.000 0.500 0.000
4 Cl 0.000 0.000 0.500
5 Cl 0.500 0.000 0.000

Summary:
The density of states at the Fermi level is 0.21 states/eV/atom. Its space-group type is P4/mmm (123). For the uncorrected energy, the calculation gives -12.604 eV for the cell shown. The formation energy without anion corrections is -0.588 eV/atom. The crystal system is tetragonal.



Look up the uncorrected energy of the second one. -12.604 eV for the cell shown